Compound: MgHg2Sb
Source: Alexandria
Functional: GGA-PBEsol
Structure: relaxed

The structure belongs to space group Immm (No. 71); the cell edges are 3.120, 5.649 and 10.606 Å and the angles 90.00°, 90.00° and 90.00°. The distinct sites, in fractional coordinates, are Mg at (0.000, 0.000, 0.000), Hg at (0.000, 0.500, 0.267) and Sb at (0.000, 0.000, 0.500).

For the total magnetization, the calculation gives 0.00 μB/cell. Its volume is 23.364 Å³ per atom. The calculation puts the final energy at -15.5 eV for the cell shown. For the formation energy (no corrections), the calculation gives -0.084 eV per atom.

***

Compound: MgSc2Hg
Source: Alexandria
Functional: GGA-PBEsol
Structure: relaxed

The structure belongs to space group Fm-3m (No. 225); the cell edges are 6.981, 6.981 and 6.981 Å and the angles 90.00°, 90.00° and 90.00°. The distinct sites, in fractional coordinates, are Mg at (0.000, 0.000, 0.000), Sc at (0.250, 0.250, 0.250) and Hg at (0.000, 0.000, 0.500).

For the total magnetization, the calculation gives 0.01 μB/cell. The energy of formation comes out at -0.30 eV per atom. Its volume is 21.266 Å³ per atom. The calculation puts the final energy at -66.8 eV for the cell shown.

***

Compound: MgSc2Hg
Source: Alexandria
Functional: GGA-PBEsol
Structure: relaxed

The structure belongs to space group P4mm (No. 99); the cell edges are 3.576, 3.576 and 6.772 Å and the angles 90.00°, 90.00° and 90.00°. The distinct sites, in fractional coordinates, are Mg at (0.000, 0.000, 0.000), Sc at (0.000, 0.000, 0.525), Sc at (0.500, 0.500, 0.262) and Hg at (0.500, 0.500, 0.764).

For the total magnetization, the calculation gives 0.74 μB/cell. The energy of formation comes out at -0.22 eV per atom. Its volume is 21.652 Å³ per atom. The calculation puts the final energy at -16.4 eV for the cell shown.

***

Compound: MgSc2Hg
Source: Alexandria
Functional: GGA-PBEsol
Structure: relaxed

The structure belongs to space group P2/m (No. 10); the cell edges are 5.227, 3.279 and 5.547 Å and the angles 90.00°, 110.25° and 90.00°. The distinct sites, in fractional coordinates, are Mg at (0.000, 0.000, 0.000), Sc at (0.500, 0.000, 0.500), Sc at (0.500, 0.500, 0.000) and Hg at (0.000, 0.500, 0.500).

For the total magnetization, the calculation gives 0.00 μB/cell. The energy of formation comes out at -0.17 eV per atom. Its volume is 22.296 Å³ per atom. The calculation puts the final energy at -16.2 eV for the cell shown.

***

Compound: Mg3ScHg
Source: Alexandria
Functional: GGA-PBEsol
Structure: relaxed

The structure belongs to space group Pm-3m (No. 221); the cell edges are 5.681, 5.681 and 5.681 Å and the angles 90.00°, 90.00° and 90.00°. The distinct sites, in fractional coordinates, are Mg at (0.000, 0.000, 0.500), Sc at (0.000, 0.000, 0.000) and Hg at (0.500, 0.500, 0.500).

For the total magnetization, the calculation gives 0.57 μB/cell. The energy of formation comes out at 0.95 eV per atom. Its volume is 36.663 Å³ per atom. The calculation puts the final energy at -7.6 eV for the cell shown.

***

Compound: MgSc2Hg
Source: Alexandria
Functional: GGA-PBEsol
Structure: relaxed

The structure belongs to space group Imm2 (No. 44); the cell edges are 3.439, 4.949 and 10.240 Å and the angles 90.00°, 90.00° and 90.00°. The distinct sites, in fractional coordinates, are Mg at (0.000, 0.000, 0.000), Sc at (0.000, 0.000, 0.542), Sc at (0.000, 0.500, 0.772) and Hg at (0.000, 0.500, 0.280).

For the total magnetization, the calculation gives 0.09 μB/cell. The energy of formation comes out at -0.23 eV per atom. Its volume is 21.783 Å³ per atom. The calculation puts the final energy at -32.9 eV for the cell shown.